Record 1
Y2Se2Cl | GGA-PBE | optimized geometry

Results
ρ = 3.93 g cm⁻³
ΔE_f (raw) = -7.097 eV/f.u.
Polymorph energy (0 for the lowest one) = 511.5 meV per atom

a = 4.988 Å, b = 4.988 Å, c = 7.226 Å
α = 69.81°, β = 69.81°, γ = 90.00°
Each line ends with the local moment (μB).
Positions (direct):
1 Y 0.352 0.352 0.295  0.23
2 Y 0.648 0.648 0.705  0.23
3 Se 0.750 0.250 0.500  0.00
4 Se 0.250 0.750 0.500  0.00
5 Cl 0.000 0.000 0.000  0.02

Record 2
Y2SeCl | GGA-PBE | optimized geometry

Results
ρ = 3.86 g cm⁻³
ΔE_f (raw) = -4.459 eV/f.u.
Polymorph energy (0 for the lowest one) = 367.0 meV per atom

a = 6.302 Å, b = 6.302 Å, c = 7.742 Å
α = 65.99°, β = 65.99°, γ = 90.00°
Positions (direct):
1 Y 0.623 0.125 0.250
2 Y 0.127 0.625 0.250
3 Y 0.375 0.377 0.750
4 Y 0.875 0.873 0.750
5 Se 0.000 0.000 0.000
6 Se 0.750 0.250 0.500
7 Cl 0.500 0.500 0.000
8 Cl 0.250 0.750 0.500

Record 3
Y2Se2Cl | GGA-PBE | optimized geometry

Results
ρ = 4.47 g cm⁻³
ΔE_f (raw) = -9.655 eV/f.u.
Polymorph energy (0 for the lowest one) = 0.0 meV per atom

a = 5.689 Å, b = 7.019 Å, c = 8.116 Å
α = 109.38°, β = 90.00°, γ = 113.91°
Positions (direct):
1 Y 0.163 0.327 0.579
2 Y 0.837 0.673 0.421
3 Y 0.494 0.988 0.255
4 Y 0.506 0.012 0.745
5 Se 0.675 0.350 0.597
6 Se 0.325 0.650 0.403
7 Se 0.010 0.021 0.761
8 Se 0.990 0.979 0.239
9 Cl 0.347 0.695 0.903
10 Cl 0.653 0.305 0.097

Record 4
Y2SeCl | GGA-PBE | optimized geometry

Results
ρ = 5.18 g cm⁻³
ΔE_f (raw) = -5.677 eV/f.u.
Polymorph energy (0 for the lowest one) = 62.5 meV per atom

a = 4.150 Å, b = 4.150 Å, c = 6.726 Å
α = 72.08°, β = 72.08°, γ = 59.82°
Positions (direct):
1 Cl 0.750 0.750 0.750
2 Se 0.250 0.250 0.250
3 Y 0.997 0.997 0.009
4 Y 0.503 0.503 0.491

Q: What is the ρ in the fourth record?
A: 5.18 g cm⁻³

Q: The lowest ΔE_f (raw) belongs to which entry?
A: number 3

What did the second record say?
Y2SeCl | GGA-PBE | optimized geometry

Results
ρ = 3.86 g cm⁻³
ΔE_f (raw) = -4.459 eV/f.u.
Polymorph energy (0 for the lowest one) = 367.0 meV per atom

a = 6.302 Å, b = 6.302 Å, c = 7.742 Å
α = 65.99°, β = 65.99°, γ = 90.00°
Positions (direct):
1 Y 0.623 0.125 0.250
2 Y 0.127 0.625 0.250
3 Y 0.375 0.377 0.750
4 Y 0.875 0.873 0.750
5 Se 0.000 0.000 0.000
6 Se 0.750 0.250 0.500
7 Cl 0.500 0.500 0.000
8 Cl 0.250 0.750 0.500

What did the fourth record say?
Y2SeCl | GGA-PBE | optimized geometry

Results
ρ = 5.18 g cm⁻³
ΔE_f (raw) = -5.677 eV/f.u.
Polymorph energy (0 for the lowest one) = 62.5 meV per atom

a = 4.150 Å, b = 4.150 Å, c = 6.726 Å
α = 72.08°, β = 72.08°, γ = 59.82°
Positions (direct):
1 Cl 0.750 0.750 0.750
2 Se 0.250 0.250 0.250
3 Y 0.997 0.997 0.009
4 Y 0.503 0.503 0.491